A plane-wave DFT calculation with PBE-GGA was carried out for a relaxed AgTeOs2 crystal.

DOS at the Fermi energy (states/eV/atom): 1.068
Raw total energy (Ry per atom): -0.437

CIF file:
```
data_AgTeOs2
_symmetry_space_group_name_H-M 'C m m m'
_symmetry_Int_Tables_number 65
_symmetry_space_group_name_Hall '-C 2 2'
_cell_length_a 2.903
_cell_length_b 4.914
_cell_length_c 9.811
_cell_angle_alpha 90.00
_cell_angle_beta 90.00
_cell_angle_gamma 90.00
loop_
_atom_site_label
_atom_site_type_symbol
_atom_site_fract_x
_atom_site_fract_y
_atom_site_fract_z
_atom_site_occupancy
Ag1 Ag 0.000 0.000 0.000 1
Te1 Te 0.000 0.000 0.500 1
Os1 Os 0.000 0.500 0.246 1
```